First-principles (GGA-PBE) data for crystalline LaHoPd at its relaxed geometry, as listed in the Alexandria database.

The structure belongs to space group Amm2 (No. 38); the cell edges are 4.963, 13.671 and 7.262 Å and the angles 90.00°, 90.00° and 90.00°. Symmetry generates all atoms from La at (0.000, 0.000, 0.000), La at (0.000, 0.199, 0.403), Ho at (0.500, 0.000, 0.331), Ho at (0.500, 0.126, 0.752), Pd at (0.000, 0.000, 0.579) and Pd at (0.500, 0.177, 0.128).

The calculated formation energy comes out at -1.64 eV/f.u. The value obtained for the total energy is -5.45 eV/atom. As for the total magnetic moment: 0.00 μB/cell.